BaAlH5 | Alexandria | meta-GGA SCAN | single point on PBEsol structure; energy = -9.657 eV per atom; symmetry = Pna2_1, No. 33
1.0
8.908 0.000 0.000
0.000 6.918 0.000
0.000 0.000 5.001
Ba Al H
4 4 20
Cartesian
1.670 1.067 0.000 Ba
2.784 4.526 2.500 Ba
6.124 2.392 0.000 Ba
7.238 5.851 2.500 Ba
0.364 4.532 0.130 Al
4.090 1.074 2.630 Al
4.819 5.844 0.130 Al
8.544 2.385 2.630 Al
0.100 3.874 1.792 H
0.689 5.480 3.737 H
0.749 5.866 1.186 H
1.323 2.112 2.613 H
1.891 3.752 0.180 H
2.563 0.293 2.680 H
3.131 5.571 0.113 H
3.705 2.407 3.686 H
3.765 2.021 1.236 H
4.354 0.415 4.293 H
4.554 6.503 1.792 H
5.143 4.897 3.737 H
5.203 4.511 1.186 H
5.777 1.346 2.613 H
6.345 6.625 0.180 H
7.017 3.166 2.680 H
7.585 4.805 0.113 H
8.159 1.052 3.686 H
8.220 1.438 1.236 H
8.808 3.044 4.293 H

=====

LiAcRh2 | Alexandria | meta-GGA SCAN | single point on PBEsol structure; energy = -40.486 eV per atom; energy of formation = -1.54 eV/f.u.; symmetry = Fm-3m, No. 225
1.0
0.000 3.297 3.297
3.297 0.000 3.297
3.297 3.297 0.000
Li Ac Rh
1 1 2
Cartesian
0.000 0.000 0.000 Li
3.297 3.297 3.297 Ac
1.649 1.649 1.649 Rh
4.946 4.946 4.946 Rh